PRh2 | PBE | optimized geometry

```
PRh2
1.0
1.432 -6.924 0.000
1.432 6.924 0.000
0.000 0.000 4.186
P Rh
2 4
Direct
0.088 0.912 0.750
0.912 0.088 0.250
0.284 0.716 0.250
0.432 0.568 0.750
0.568 0.432 0.250
0.716 0.284 0.750
```

Calculated values
As for the symmetry: Cmcm (63).

---

Tb15Y2Th2 | PBE | optimized geometry

```
Tb15Y2Th2
1.0
5.552 3.206 5.961
-5.552 3.206 5.961
0.000 -6.411 5.961
Tb Y Th
15 2 2
Direct
0.000 0.000 0.500
0.000 0.300 0.700
0.000 0.500 0.000
0.000 0.700 0.300
0.149 0.628 0.628
0.300 0.000 0.700
0.300 0.700 0.000
0.372 0.372 0.851
0.372 0.851 0.372
0.500 0.000 0.000
0.628 0.149 0.628
0.628 0.628 0.149
0.700 0.000 0.300
0.700 0.300 0.000
0.851 0.372 0.372
0.316 0.316 0.316
0.684 0.684 0.684
0.087 0.087 0.087
0.913 0.913 0.913
```

Calculated values
As for the symmetry: R-3m (166).

---

Number 1: ΔH_f (0 K) -0.3369 eV per atom, magnetic moment 0.000 μB per cell. Number 2: ΔH_f (0 K) 0.2860 eV per atom, magnetic moment 0.000 μB per cell.